No. 1
The following is a PBE-GGA calculation of LaIn2Br after structural relaxation, from Alexandria.

**Excess energy over the best structure of this formula in the dataset**: 29 meV per atom
**D(E_F)**: 3.02 states/eV/cell
**Calculated volume**: 111.5 Å³/cell
**SG**: I4/mmm
**Total DFT energy (no corrections)**: -14.62 eV for the cell shown
**M_tot**: 0.0 μB per cell
**Energy relative to the elements, uncorrected**: -0.63 eV/atom

The structure in CIF format:
```
data_LaIn2Br
_symmetry_space_group_name_H-M 'P 1'
_symmetry_Int_Tables_number 1
_cell_length_a 6.648
_cell_length_b 6.648
_cell_length_c 6.648
_cell_angle_alpha 141.82
_cell_angle_beta 141.82
_cell_angle_gamma 55.11
loop_
_symmetry_equiv_pos_as_xyz
'x,y,z'
loop_
_atom_site_label
_atom_site_fract_x
_atom_site_fract_y
_atom_site_fract_z
La1 0.000 0.000 0.000
In1 0.250 0.750 0.500
In2 0.750 0.250 0.500
Br1 0.500 0.500 0.000
```



No. 2
The following is a PBE-GGA calculation of Tb6Nd6Tm after structural relaxation, from Alexandria.

**D(E_F)**: 27.76 states/eV/cell
**Calculated volume**: 450.8 Å³/cell
**SG**: P6/mmm
**Total DFT energy (no corrections)**: -57.18 eV for the cell shown
**M_tot**: 0.0 μB per cell
**Energy relative to the elements**: 0.283 eV/atom

The structure in CIF format:
```
data_Tb6Nd6Tm
_symmetry_space_group_name_H-M 'P 1'
_symmetry_Int_Tables_number 1
_cell_length_a 6.751
_cell_length_b 6.751
_cell_length_c 11.421
_cell_angle_alpha 90.00
_cell_angle_beta 90.00
_cell_angle_gamma 120.00
loop_
_symmetry_equiv_pos_as_xyz
'x,y,z'
loop_
_atom_site_label
_atom_site_fract_x
_atom_site_fract_y
_atom_site_fract_z
Tb1 0.000 0.500 0.247
Tb2 0.000 0.500 0.753
Tb3 0.500 0.000 0.247
Tb4 0.500 0.000 0.753
Tb5 0.500 0.500 0.247
Tb6 0.500 0.500 0.753
Nd1 0.000 0.000 0.344
Nd2 0.000 0.000 0.656
Nd3 0.333 0.667 0.000
Nd4 0.333 0.667 0.500
Nd5 0.667 0.333 0.000
Nd6 0.667 0.333 0.500
Tm1 0.000 0.000 0.000
```



No. 3
The following is a PBE-GGA calculation of CsBi2AsSe after structural relaxation, from Alexandria.

**D(E_F)**: 4.55 states/eV/cell
**Calculated volume**: 201.3 Å³/cell
**SG**: P4/mmm
**Total DFT energy (no corrections)**: -14.81 eV for the cell shown
**M_tot**: 0.0 μB per cell
**Energy relative to the elements, uncorrected**: 0.39 eV/atom

The structure in CIF format:
```
data_CsBi2AsSe
_symmetry_space_group_name_H-M 'P 1'
_symmetry_Int_Tables_number 1
_cell_length_a 5.600
_cell_length_b 5.600
_cell_length_c 6.420
_cell_angle_alpha 90.00
_cell_angle_beta 90.00
_cell_angle_gamma 90.00
loop_
_symmetry_equiv_pos_as_xyz
'x,y,z'
loop_
_atom_site_label
_atom_site_fract_x
_atom_site_fract_y
_atom_site_fract_z
Cs1 0.000 0.000 0.000
Bi1 0.000 0.500 0.500
Bi2 0.500 0.000 0.500
As1 0.500 0.500 0.000
Se1 0.000 0.000 0.500
```



No. 4
The following is a PBE-GGA calculation of Pu3Fe after structural relaxation, from Alexandria.

**D(E_F)**: 14.12 states/eV/cell
**Calculated volume**: 71.1 Å³/cell
**SG**: Fm-3m
**Total DFT energy (no corrections)**: -50.83 eV for the cell shown
**M_tot**: 3.7 μB per cell
**Energy relative to the elements**: 0.156 eV/atom

The structure in CIF format:
```
data_Pu3Fe
_symmetry_space_group_name_H-M 'P 1'
_symmetry_Int_Tables_number 1
_cell_length_a 4.651
_cell_length_b 4.651
_cell_length_c 4.651
_cell_angle_alpha 60.00
_cell_angle_beta 60.00
_cell_angle_gamma 60.00
loop_
_symmetry_equiv_pos_as_xyz
'x,y,z'
loop_
_atom_site_label
_atom_site_fract_x
_atom_site_fract_y
_atom_site_fract_z
Pu1 0.000 0.000 0.000
Pu2 0.250 0.250 0.250
Pu3 0.750 0.750 0.750
Fe1 0.500 0.500 0.500
```